1.
First-principles (GGA-PBE) data for LaMg2Ag after structural relaxation, as listed in Alexandria.

Results
**ΔH_f (0 K)**: -0.079 eV per atom
**N(E_F)**: 3.39 states/eV/f.u.
**Total magnetization**: 0.0 μB/cell

a = 3.5091 Å, b = 5.0683 Å, c = 5.9137 Å
α = 90.00°, β = 100.58°, γ = 90.00°
Fractional positions:
La 0.0000 0.0000 0.0000
Mg 0.3654 0.5000 0.7220
Mg 0.6346 0.5000 0.2780
Ag 0.5000 0.0000 0.5000

***

2.
First-principles (GGA-PBE) data for LaMg2Ag after structural relaxation, as listed in Alexandria.

Results
**ΔH_f (0 K)**: -0.079 eV per atom
**N(E_F)**: 3.96 states/eV/f.u.
**Total magnetization**: 0.0 μB/cell

a = 4.5160 Å, b = 4.5160 Å, c = 5.1504 Å
α = 90.00°, β = 90.00°, γ = 90.00°
Fractional positions:
La 0.0000 0.0000 0.0000
Mg 0.0000 0.5000 0.5000
Mg 0.5000 0.0000 0.5000
Ag 0.5000 0.5000 0.0000

***

3.
First-principles (GGA-PBE) data for LaMg9Ag2 after structural relaxation, as listed in Alexandria.

Results
**ΔH_f (0 K)**: -0.151 eV per atom
**N(E_F)**: 5.17 states/eV/f.u.
**Total magnetization**: 0.0 μB/cell

a = 9.3077 Å, b = 9.3077 Å, c = 9.3077 Å
α = 99.69°, β = 99.69°, γ = 131.55°
Fractional positions:
La 0.3750 0.6250 0.7500
La 0.6250 0.3750 0.2500
Mg 0.1250 0.8750 0.2500
Mg 0.1336 0.5615 0.3281
Mg 0.1336 0.8055 0.5721
Mg 0.1945 0.2666 0.3281
Mg 0.1945 0.8664 0.9279
Mg 0.2666 0.1945 0.8281
Mg 0.2666 0.4385 0.0721
Mg 0.4385 0.2666 0.5721
Mg 0.4385 0.8664 0.1719
Mg 0.5615 0.1336 0.8281
Mg 0.5615 0.7334 0.4279
Mg 0.7334 0.5615 0.9279
Mg 0.7334 0.8055 0.1719
Mg 0.8055 0.1336 0.0721
Mg 0.8055 0.7334 0.6719
Mg 0.8664 0.1945 0.4279
Mg 0.8664 0.4385 0.6719
Mg 0.8750 0.1250 0.7500
Ag 0.0000 0.0000 0.0000
Ag 0.0000 0.0000 0.5000
Ag 0.0000 0.5000 0.0000
Ag 0.5000 0.0000 0.5000